(1)
Below is a relaxed structure of TeAsCl2, with properties calculated at the PBE level.

Values from the calculation:
Distance to the lowest polymorph of the same formula = 502 meV per atom
Total moment = 0.00 μB/f.u.
ΔE_f (raw) = 0.095 eV per atom

a b c (Å): 4.9589 4.9589 4.9589
angles (deg): 60.00 60.00 60.00
Positions (direct):
Cl: 0.2500 0.2500 0.2500
Cl: 0.0000 0.0000 0.0000
Te: 0.7500 0.7500 0.7500
As: 0.5000 0.5000 0.5000

***

(2)
Below is a relaxed structure of TeAsCl2, with properties calculated at the PBE level.

Values from the calculation:
Distance to the lowest polymorph of the same formula = 266 meV per atom
Total moment = 0.00 μB/f.u.
ΔE_f (raw) = -0.141 eV per atom

a b c (Å): 9.0950 9.0950 9.0950
angles (deg): 24.65 24.65 24.65
Positions (direct):
Cl: 0.2290 0.2290 0.2290
Cl: 0.0274 0.0274 0.0274
Te: 0.4854 0.4854 0.4854
As: 0.7583 0.7583 0.7583

***

(3)
Below is a relaxed structure of Te2AsCl, with properties calculated at the PBE level.

Values from the calculation:
Distance to the lowest polymorph of the same formula = 0 meV per atom
Total moment = 0.00 μB/f.u.
ΔE_f (raw) = -0.142 eV per atom

a b c (Å): 5.1450 7.6116 13.1494
angles (deg): 68.62 90.00 90.00
Positions (direct):
Te: 0.3136 0.1268 0.4253
Te: 0.6864 0.4826 0.4214
Te: 0.8136 0.3732 0.0747
Te: 0.6864 0.8732 0.5747
Te: 0.1864 0.0174 0.0786
Te: 0.3136 0.5174 0.5786
Te: 0.8136 0.9826 0.9214
Te: 0.1864 0.6268 0.9253
Cl: 0.1086 0.5193 0.2441
Cl: 0.6086 0.9807 0.2559
Cl: 0.8914 0.4807 0.7559
Cl: 0.3914 0.0193 0.7441
As: 0.0072 0.2126 0.5702
As: 0.4928 0.7126 0.0702
As: 0.9928 0.7874 0.4298
As: 0.5072 0.2874 0.9298

***

(4)
Below is a relaxed structure of Te2AsCl, with properties calculated at the PBE level.

Values from the calculation:
Distance to the lowest polymorph of the same formula = 193 meV per atom
Total moment = 0.00 μB/f.u.
ΔE_f (raw) = 0.051 eV per atom

a b c (Å): 9.6645 9.6645 9.6645
angles (deg): 22.36 22.36 22.36
Positions (direct):
Cl: 0.7745 0.7745 0.7745
Te: 0.2301 0.2301 0.2301
Te: 0.9922 0.9922 0.9922
As: 0.5032 0.5032 0.5032

***

(5)
Below is a relaxed structure of TeAsCl2, with properties calculated at the PBE level.

Values from the calculation:
Distance to the lowest polymorph of the same formula = 752 meV per atom
Total moment = 0.00 μB/f.u.
ΔE_f (raw) = 0.345 eV per atom

a b c (Å): 3.1356 4.5695 6.1993
angles (deg): 90.00 90.00 90.00
Positions (direct):
Te: 0.5000 0.5000 0.2500
As: 0.5000 0.5000 0.7500
Cl: 0.0000 0.0000 0.5057
Cl: 0.0000 0.0000 0.9943

***

(6)
Below is a relaxed structure of TeAsCl2, with properties calculated at the PBE level.

Values from the calculation:
Distance to the lowest polymorph of the same formula = 355 meV per atom
Total moment = 0.00 μB/f.u.
ΔE_f (raw) = -0.053 eV per atom

a b c (Å): 7.3808 7.3808 7.3808
angles (deg): 151.15 143.55 47.13
Positions (direct):
Te: 0.4429 0.4429 0.0000
Cl: 0.0032 0.0032 0.0000
Cl: 0.7536 0.2536 0.5000
As: 0.3003 0.8003 0.5000

***

(7)
Below is a relaxed structure of TeAsCl2, with properties calculated at the PBE level.

Values from the calculation:
Distance to the lowest polymorph of the same formula = 531 meV per atom
Total moment = 0.00 μB/f.u.
ΔE_f (raw) = 0.123 eV per atom

a b c (Å): 10.3057 10.3057 10.3057
angles (deg): 18.64 18.64 18.64
Positions (direct):
As: 0.5000 0.5000 0.5000
Cl: 0.1007 0.1007 0.1007
Cl: 0.8993 0.8993 0.8993
Te: 0.0000 0.0000 0.0000

***

(8)
Below is a relaxed structure of Te2AsCl, with properties calculated at the PBE level.

Values from the calculation:
Distance to the lowest polymorph of the same formula = 147 meV per atom
Total moment = 0.00 μB/f.u.
ΔE_f (raw) = 0.005 eV per atom

a b c (Å): 7.2149 7.2149 7.2149
angles (deg): 150.08 137.08 53.20
Positions (direct):
Te: 0.6448 0.1448 0.5000
Te: 0.0414 0.0414 0.0000
As: 0.4814 0.4814 0.0000
Cl: 0.3324 0.8324 0.5000

***

(9)
Below is a relaxed structure of Te5AsCl2, with properties calculated at the PBE level.

Values from the calculation:
Total moment = 0.00 μB/f.u.
ΔE_f (raw) = -0.085 eV per atom

a b c (Å): 9.3106 6.4436 8.4626
angles (deg): 119.91 123.37 90.00
Positions (direct):
Te: 0.7243 0.2616 0.9000
Te: 0.1757 0.2616 0.9000
Te: 0.2671 0.7470 0.0185
Te: 0.8953 0.7448 0.7906
Te: 0.7514 0.7470 0.0185
Cl: 0.2234 0.7840 0.4468
Cl: 0.6555 0.8939 0.3110
As: 0.0843 0.3371 0.1686

***

(10)
Below is a relaxed structure of Te2AsCl, with properties calculated at the PBE level.

Values from the calculation:
Distance to the lowest polymorph of the same formula = 261 meV per atom
Total moment = 0.00 μB/f.u.
ΔE_f (raw) = 0.119 eV per atom

a b c (Å): 3.7477 3.7496 7.3191
angles (deg): 90.00 90.00 90.00
Positions (direct):
Te: 0.0000 0.0000 0.4521
Te: 0.0000 0.0000 0.0479
Cl: 0.5000 0.5000 0.7500
As: 0.5000 0.5000 0.2500